Entry 1:
DFT (GGA-PBE) results for crystalline ScAgPd3 at its relaxed geometry.

Cell lengths 4.7461, 4.7461, 4.7461 Å; angles 90.00, 90.00, 90.00 degrees
Positions (direct):
Pd  0.5000  0.0000  0.0000
Pd  0.0000  0.5000  0.0000
Pd  0.0000  0.0000  0.5000
Sc  0.0000  0.0000  0.0000
Ag  0.5000  0.5000  0.5000

ΔH_f (0 K): 359.0 meV per atom
uncorrected energy: -22.966 eV for the cell shown

Entry 2:
DFT (GGA-PBE) results for crystalline Sc2AgPd3 at its relaxed geometry.

Cell lengths 4.9450, 7.7495, 7.6990 Å; angles 127.03, 90.00, 108.61 degrees
Positions (direct):
Ag  0.1286  0.2571  0.1301
Ag  0.8714  0.7429  0.8699
Pd  0.2953  0.5906  0.6261
Pd  0.6293  0.2587  0.6585
Pd  0.0347  0.0693  0.3633
Pd  0.7047  0.4094  0.3739
Pd  0.3707  0.7413  0.3415
Pd  0.9653  0.9307  0.6367
Sc  0.1953  0.3906  0.8216
Sc  0.5197  0.0393  0.8272
Sc  0.8047  0.6094  0.1784
Sc  0.4803  0.9607  0.1728

ΔH_f (0 K): -536.6 meV per atom
uncorrected energy: -68.624 eV for the cell shown

Entry 3:
DFT (GGA-PBE) results for crystalline ScAg2Pd9 at its relaxed geometry.

Cell lengths 4.0017, 4.0017, 12.0046 Å; angles 90.00, 90.00, 90.00 degrees
Positions (direct):
Pd  0.5000  0.5000  0.6679
Pd  0.5000  0.5000  0.0000
Pd  0.0000  0.5000  0.8348
Pd  0.5000  0.0000  0.8348
Pd  0.0000  0.5000  0.5000
Pd  0.5000  0.0000  0.5000
Pd  0.5000  0.5000  0.3321
Pd  0.5000  0.0000  0.1652
Pd  0.0000  0.5000  0.1652
Ag  0.0000  0.0000  0.3343
Ag  0.0000  0.0000  0.6657
Sc  0.0000  0.0000  0.0000

ΔH_f (0 K): -289.5 meV per atom
uncorrected energy: -62.244 eV for the cell shown

Entry 4:
DFT (GGA-PBE) results for crystalline Sc2AgPd at its relaxed geometry.

Cell lengths 10.1811, 10.1811, 10.1811 Å; angles 17.33, 17.33, 17.33 degrees
Positions (direct):
Sc  0.0935  0.0935  0.0935
Sc  0.9065  0.9065  0.9065
Pd  0.5000  0.5000  0.5000
Ag  0.0000  0.0000  0.0000

ΔH_f (0 K): -73.4 meV per atom
uncorrected energy: -21.001 eV for the cell shown

no.,total magnetic moment (Bohr magnetons per cell)
1,0.00
2,0.00
3,0.00
4,0.00